#A
The following is a DFT calculation (PBE-GGA) of a relaxed NdEr3In4 crystal.

a = 5.5041 Å, b = 7.2211 Å, c = 10.7634 Å
α = 90.00°, β = 90.00°, γ = 90.00°
Last column: nearest neighbours and their distance in Å.
Positions (direct):
In1 0.0870 0.7587 0.7500  6 Er 3.24-3.41, 2 Nd 3.31, 3 In 3.48-3.52
In2 0.5000 0.7591 0.5000  6 Er 3.24-3.30, 2 Nd 3.33, 3 In 3.48-3.52
In3 0.5000 0.2409 0.0000  6 Er 3.24-3.30, 2 Nd 3.33, 3 In 3.48-3.52
In4 0.0870 0.2413 0.7500  6 Er 3.24-3.41, 2 Nd 3.31, 3 In 3.48-3.52
In5 0.9130 0.2413 0.2500  6 Er 3.24-3.41, 2 Nd 3.31, 3 In 3.48-3.52
In6 0.5000 0.2409 0.5000  6 Er 3.24-3.30, 2 Nd 3.33, 3 In 3.48-3.52
In7 0.9130 0.7587 0.2500  6 Er 3.24-3.41, 2 Nd 3.31, 3 In 3.48-3.52
In8 0.5000 0.7591 0.0000  6 Er 3.24-3.30, 2 Nd 3.33, 3 In 3.48-3.52
Er1 0.4302 0.5000 0.2500  8 In 3.25-3.41, 2 Nd 3.58, 2 Er 3.61
Er2 0.5829 0.0000 0.7500  8 In 3.24-3.28, 4 Er 3.54-3.61
Er3 0.0000 0.0000 0.5000  8 In 3.24-3.26, 2 Er 3.54, 2 Nd 3.61
Er4 0.4171 0.0000 0.2500  8 In 3.24-3.28, 4 Er 3.54-3.61
Er5 0.0000 0.0000 0.0000  8 In 3.24-3.26, 2 Er 3.54, 2 Nd 3.61
Er6 0.5698 0.5000 0.7500  8 In 3.25-3.41, 2 Nd 3.58, 2 Er 3.61
Nd1 0.0000 0.5000 0.0000  8 In 3.31-3.33, 4 Er 3.58-3.61
Nd2 0.0000 0.5000 0.5000  8 In 3.31-3.33, 4 Er 3.58-3.61

#B
The following is a DFT calculation (PBE-GGA) of a relaxed NdEr3In4 crystal.

a = 3.4173 Å, b = 7.1493 Å, c = 10.1737 Å
α = 110.55°, β = 99.67°, γ = 90.00°
Last column: nearest neighbours and their distance in Å.
Positions (direct):
In1 0.6287 0.4192 0.2574  1 In 2.99, 1 Nd 3.18, 5 Er 3.19-3.31
In2 0.6286 0.8377 0.2572  1 In 2.99, 1 Nd 3.18, 5 Er 3.19-3.31
In3 0.3714 0.1623 0.7428  1 In 2.99, 1 Nd 3.18, 5 Er 3.19-3.31
In4 0.3713 0.5808 0.7426  1 In 2.99, 1 Nd 3.18, 5 Er 3.19-3.31
Nd1 0.5000 0.0000 0.0000  4 In 3.18, 2 Nd 3.42
Er1 0.0000 0.5000 0.0000  8 In 3.31, 2 Er 3.42
Er2 0.7802 0.7805 0.5603  6 In 3.19-3.21, 2 Er 3.42
Er3 0.2198 0.2195 0.4397  6 In 3.19-3.21, 2 Er 3.42

Energies relative to the minimum, kJ/mol of atoms: #A 0.0; #B 14.9

#A
The following is a DFT calculation (PBE-GGA) of a relaxed NdEr3In3 crystal.

a = 9.3124 Å, b = 9.3124 Å, c = 9.3124 Å
α = 90.00°, β = 90.00°, γ = 90.00°
Last column: nearest neighbours and their distance in Å.
Positions (direct):
Er1 0.8826 0.8826 0.8826  6 In 3.17-3.31, 1 Er 3.46, 3 Nd 3.53
Er2 0.6994 0.3006 0.8006  6 In 3.14-3.32
Er3 0.3006 0.8006 0.6994  6 In 3.14-3.32
Er4 0.1994 0.1994 0.1994  6 In 3.14-3.32
Er5 0.8316 0.3316 0.1684  6 In 3.12-3.22, 1 Er 3.46
Er6 0.6684 0.6684 0.6684  6 In 3.12-3.22, 1 Er 3.46
Er7 0.3316 0.1684 0.8316  6 In 3.12-3.22, 1 Er 3.46
Er8 0.1174 0.3826 0.6174  6 In 3.17-3.31, 1 Er 3.46, 3 Nd 3.53
Er9 0.6174 0.1174 0.3826  6 In 3.17-3.31, 1 Er 3.46, 3 Nd 3.53
Er10 0.8006 0.6994 0.3006  6 In 3.14-3.32
Er11 0.3826 0.6174 0.1174  6 In 3.17-3.31, 1 Er 3.46, 3 Nd 3.53
Er12 0.1684 0.8316 0.3316  6 In 3.12-3.22, 1 Er 3.46
In1 0.5053 0.3004 0.0998  6 Er 3.12-3.32, 1 Nd 3.31, 2 In 3.47
In2 0.0998 0.5053 0.3004  6 Er 3.12-3.32, 1 Nd 3.31, 2 In 3.47
In3 0.9947 0.6996 0.5998  6 Er 3.12-3.32, 1 Nd 3.31, 2 In 3.47
In4 0.1996 0.9002 0.0053  6 Er 3.12-3.32, 1 Nd 3.31, 2 In 3.47
In5 0.4002 0.4947 0.8004  6 Er 3.12-3.32, 1 Nd 3.31, 2 In 3.47
In6 0.5998 0.9947 0.6996  6 Er 3.12-3.32, 1 Nd 3.31, 2 In 3.47
In7 0.0053 0.1996 0.9002  6 Er 3.12-3.32, 1 Nd 3.31, 2 In 3.47
In8 0.9002 0.0053 0.1996  6 Er 3.12-3.32, 1 Nd 3.31, 2 In 3.47
In9 0.4947 0.8004 0.4002  6 Er 3.12-3.32, 1 Nd 3.31, 2 In 3.47
In10 0.3004 0.0998 0.5053  6 Er 3.12-3.32, 1 Nd 3.31, 2 In 3.47
In11 0.8004 0.4002 0.4947  6 Er 3.12-3.32, 1 Nd 3.31, 2 In 3.47
In12 0.6996 0.5998 0.9947  6 Er 3.12-3.32, 1 Nd 3.31, 2 In 3.47
Nd1 0.5490 0.9510 0.0490  6 In 3.31-3.59, 4 Er 3.51-3.53
Nd2 0.4510 0.4510 0.4510  6 In 3.31-3.59, 4 Er 3.51-3.53
Nd3 0.0490 0.5490 0.9510  6 In 3.31-3.59, 4 Er 3.51-3.53
Nd4 0.9510 0.0490 0.5490  6 In 3.31-3.59, 4 Er 3.51-3.53

#B
The following is a DFT calculation (PBE-GGA) of a relaxed NdEr3In3 crystal.

a = 5.1624 Å, b = 9.3781 Å, c = 9.3781 Å
α = 120.00°, β = 90.00°, γ = 90.00°
Last column: nearest neighbours and their distance in Å.
Positions (direct):
Nd1 0.7500 0.3333 0.6667  9 In 3.37-3.44, 3 Er 3.70
Nd2 0.2500 0.6667 0.3333  9 In 3.37-3.44, 3 Er 3.70
In1 0.2500 0.0700 0.6185  4 Er 3.12-3.36, 2 In 3.23, 3 Nd 3.37-3.44
In2 0.7500 0.4515 0.0700  4 Er 3.12-3.36, 2 In 3.23, 3 Nd 3.37-3.44
In3 0.2500 0.5485 0.9300  4 Er 3.12-3.36, 2 In 3.23, 3 Nd 3.37-3.44
In4 0.7500 0.9300 0.3815  4 Er 3.12-3.36, 2 In 3.23, 3 Nd 3.37-3.44
In5 0.2500 0.3815 0.4515  4 Er 3.12-3.36, 2 In 3.23, 3 Nd 3.37-3.44
In6 0.7500 0.6185 0.5485  4 Er 3.12-3.36, 2 In 3.23, 3 Nd 3.37-3.44
Er1 0.7500 0.2298 0.2306  4 In 3.12-3.36, 4 Er 3.36
Er2 0.7500 0.0008 0.7702  4 In 3.12-3.36, 4 Er 3.36
Er3 0.7500 0.7694 0.9992  4 In 3.12-3.36, 4 Er 3.36
Er4 0.2500 0.2306 0.0008  4 In 3.12-3.36, 4 Er 3.36
Er5 0.2500 0.7702 0.7694  4 In 3.12-3.36, 4 Er 3.36
Er6 0.2500 0.9992 0.2298  4 In 3.12-3.36, 4 Er 3.36

Energies relative to the minimum, kJ/mol of atoms: #A 4.1; #B 0.0

#A
The following is a DFT calculation (PBE-GGA) of a relaxed Nd5Er4In crystal.

a = 5.9503 Å, b = 8.0917 Å, c = 8.0917 Å
α = 82.23°, β = 68.43°, γ = 68.43°
Last column: nearest neighbours and their distance in Å.
Positions (direct):
Nd1 0.1396 0.6241 0.0000  1 In 3.17, 3 Nd 3.28-3.51, 2 Er 3.32
Nd2 0.6719 0.0000 0.0000  2 In 2.86-3.09
Nd3 0.7638 0.3759 0.0000  1 In 3.17, 3 Nd 3.28-3.51, 2 Er 3.32
Nd4 0.7638 0.0000 0.3759  1 In 3.17, 3 Nd 3.28-3.51, 2 Er 3.32
Nd5 0.1396 0.0000 0.6241  1 In 3.17, 3 Nd 3.28-3.51, 2 Er 3.32
In1 0.1918 0.0000 0.0000  6 Nd 2.86-3.17
Er1 0.1400 0.3199 0.3200  3 Nd 3.32-3.63
Er2 0.4600 0.6800 0.3199  3 Nd 3.32-3.63
Er3 0.4600 0.3200 0.6801  3 Nd 3.32-3.63
Er4 0.7799 0.6801 0.6800  3 Nd 3.32-3.63

#B
The following is a DFT calculation (PBE-GGA) of a relaxed Nd5Er4In crystal.

a = 4.1666 Å, b = 4.1666 Å, c = 18.5142 Å
α = 90.00°, β = 90.00°, γ = 90.00°
Last column: nearest neighbours and their distance in Å.
Positions (direct):
Nd1 0.5000 0.5000 0.5000  8 Er 3.50, 2 Nd 3.79
Nd2 0.5000 0.5000 0.2953  8 Er 3.49-3.50, 2 Nd 3.79
Nd3 0.5000 0.5000 0.7047  8 Er 3.49-3.50, 2 Nd 3.79
Nd4 0.5000 0.5000 0.0909  1 Nd 3.36, 4 In 3.39, 4 Er 3.52
Nd5 0.5000 0.5000 0.9091  1 Nd 3.36, 4 In 3.39, 4 Er 3.52
Er1 0.0000 0.0000 0.6024  8 Nd 3.50, 2 Er 3.76-3.79
Er2 0.0000 0.0000 0.3976  8 Nd 3.50, 2 Er 3.76-3.79
Er3 0.0000 0.0000 0.8055  8 Nd 3.49-3.52, 1 In 3.60, 1 Er 3.76
Er4 0.0000 0.0000 0.1945  8 Nd 3.49-3.52, 1 In 3.60, 1 Er 3.76
In1 0.0000 0.0000 0.0000  8 Nd 3.39, 2 Er 3.60

Energies relative to the minimum, kJ/mol of atoms: #A 16.3; #B 0.0

#A
The following is a DFT calculation (PBE-GGA) of a relaxed Nd12Er6In crystal.

a = 8.6252 Å, b = 8.6252 Å, c = 8.6252 Å
α = 88.63°, β = 88.63°, γ = 88.63°
Last column: nearest neighbours and their distance in Å.
Positions (direct):
Nd1 0.8217 0.6355 0.9835  4 Er 3.50-3.76, 1 In 3.54, 5 Nd 3.54-3.83
Nd2 0.2140 0.4625 0.5685  3 Er 3.36-3.58, 4 Nd 3.40-3.69
Nd3 0.1783 0.3645 0.0165  4 Er 3.50-3.76, 1 In 3.54, 5 Nd 3.54-3.83
Nd4 0.0165 0.1783 0.3645  4 Er 3.50-3.76, 1 In 3.54, 5 Nd 3.54-3.83
Nd5 0.7860 0.5375 0.4315  3 Er 3.36-3.58, 4 Nd 3.40-3.69
Nd6 0.5685 0.2140 0.4625  3 Er 3.36-3.58, 4 Nd 3.40-3.69
Nd7 0.4315 0.7860 0.5375  3 Er 3.36-3.58, 4 Nd 3.40-3.69
Nd8 0.6355 0.9835 0.8217  4 Er 3.50-3.76, 1 In 3.54, 5 Nd 3.54-3.83
Nd9 0.5375 0.4315 0.7860  3 Er 3.36-3.58, 4 Nd 3.40-3.69
Nd10 0.3645 0.0165 0.1783  4 Er 3.50-3.76, 1 In 3.54, 5 Nd 3.54-3.83
Nd11 0.4625 0.5685 0.2140  3 Er 3.36-3.58, 4 Nd 3.40-3.69
Nd12 0.9835 0.8217 0.6355  4 Er 3.50-3.76, 1 In 3.54, 5 Nd 3.54-3.83
Er1 0.7175 0.2557 0.1008  7 Nd 3.36-3.76, 1 In 3.36, 2 Er 3.42
Er2 0.2825 0.7443 0.8992  7 Nd 3.36-3.76, 1 In 3.36, 2 Er 3.42
Er3 0.8992 0.2825 0.7443  7 Nd 3.36-3.76, 1 In 3.36, 2 Er 3.42
Er4 0.2557 0.1008 0.7175  7 Nd 3.36-3.76, 1 In 3.36, 2 Er 3.42
Er5 0.1008 0.7175 0.2557  7 Nd 3.36-3.76, 1 In 3.36, 2 Er 3.42
Er6 0.7443 0.8992 0.2825  7 Nd 3.36-3.76, 1 In 3.36, 2 Er 3.42
In1 0.0000 0.0000 0.0000  6 Er 3.36, 6 Nd 3.54

#B
The following is a DFT calculation (PBE-GGA) of a relaxed Nd12Er6In crystal.

a = 8.7271 Å, b = 8.7271 Å, c = 8.7271 Å
α = 97.97°, β = 97.97°, γ = 97.97°
Last column: nearest neighbours and their distance in Å.
Positions (direct):
Er1 0.4047 0.1366 0.1369  4 Nd 3.41-3.49, 2 Er 3.53, 1 In 3.55
Er2 0.8631 0.5953 0.8634  4 Nd 3.41-3.49, 2 Er 3.53, 1 In 3.55
Er3 0.1369 0.4047 0.1366  4 Nd 3.41-3.49, 2 Er 3.53, 1 In 3.55
Er4 0.1366 0.1369 0.4047  4 Nd 3.41-3.49, 2 Er 3.53, 1 In 3.55
Er5 0.8634 0.8631 0.5953  4 Nd 3.41-3.49, 2 Er 3.53, 1 In 3.55
Er6 0.5953 0.8634 0.8631  4 Nd 3.41-3.49, 2 Er 3.53, 1 In 3.55
Nd1 0.2591 0.0003 0.7409  4 Er 3.41-3.49, 1 In 3.41, 6 Nd 3.41-3.69
Nd2 0.4210 0.8284 0.4212  3 Nd 3.15-3.42
Nd3 0.0003 0.7409 0.2591  4 Er 3.41-3.49, 1 In 3.41, 6 Nd 3.41-3.69
Nd4 0.8284 0.4212 0.4210  3 Nd 3.15-3.42
Nd5 0.7409 0.2591 0.0003  4 Er 3.41-3.49, 1 In 3.41, 6 Nd 3.41-3.69
Nd6 0.5790 0.1716 0.5788  3 Nd 3.15-3.42
Nd7 0.7409 0.9997 0.2591  4 Er 3.41-3.49, 1 In 3.41, 6 Nd 3.41-3.69
Nd8 0.2591 0.7409 0.9997  4 Er 3.41-3.49, 1 In 3.41, 6 Nd 3.41-3.69
Nd9 0.4212 0.4210 0.8284  3 Nd 3.15-3.42
Nd10 0.1716 0.5788 0.5790  3 Nd 3.15-3.42
Nd11 0.9997 0.2591 0.7409  4 Er 3.41-3.49, 1 In 3.41, 6 Nd 3.41-3.69
Nd12 0.5788 0.5790 0.1716  3 Nd 3.15-3.42
In1 0.0000 0.0000 0.0000  6 Nd 3.41, 6 Er 3.55

Energies relative to the minimum, kJ/mol of atoms: #A 0.0; #B 2.3

#A
The following is a DFT calculation (PBE-GGA) of a relaxed Nd3ErIn4 crystal.

a = 3.5920 Å, b = 7.0992 Å, c = 10.4246 Å
α = 109.94°, β = 99.92°, γ = 90.00°
Last column: nearest neighbours and their distance in Å.
Positions (direct):
In1 0.6248 0.8420 0.2496  1 In 3.08, 1 Er 3.13, 5 Nd 3.28-3.37
In2 0.3753 0.5920 0.7506  1 In 3.08, 1 Er 3.13, 5 Nd 3.28-3.37
In3 0.6247 0.4080 0.2494  1 In 3.08, 1 Er 3.13, 5 Nd 3.28-3.37
In4 0.3752 0.1580 0.7504  1 In 3.08, 1 Er 3.13, 5 Nd 3.28-3.37
Nd1 0.7786 0.7782 0.5572  6 In 3.28-3.34, 2 Nd 3.59
Nd2 0.2214 0.2218 0.4428  6 In 3.28-3.34, 2 Nd 3.59
Nd3 0.0000 0.5000 0.0000  8 In 3.37, 2 Nd 3.59
Er1 0.5000 0.0000 0.0000  4 In 3.13

#B
The following is a DFT calculation (PBE-GGA) of a relaxed Nd3ErIn4 crystal.

a = 3.8186 Å, b = 3.8186 Å, c = 15.5389 Å
α = 90.00°, β = 90.00°, γ = 90.00°
Last column: nearest neighbours and their distance in Å.
Positions (direct):
In1 0.0000 0.0000 0.1140  4 Er 3.23, 4 Nd 3.37, 1 In 3.54
In2 0.0000 0.0000 0.8860  4 Er 3.23, 4 Nd 3.37, 1 In 3.54
In3 0.0000 0.0000 0.6284  8 Nd 3.36
In4 0.0000 0.0000 0.3716  8 Nd 3.36
Er1 0.5000 0.5000 0.0000  8 In 3.23
Nd1 0.5000 0.5000 0.2433  8 In 3.36-3.37
Nd2 0.5000 0.5000 0.7567  8 In 3.36-3.37
Nd3 0.5000 0.5000 0.5000  8 In 3.36

Energies relative to the minimum, kJ/mol of atoms: #A 17.2; #B 0.0

#A
The following is a DFT calculation (PBE-GGA) of a relaxed Nd2Er2In crystal.

a = 5.1553 Å, b = 5.1553 Å, c = 8.8164 Å
α = 73.00°, β = 73.00°, γ = 60.00°
Last column: nearest neighbours and their distance in Å.
Positions (direct):
Nd1 0.4349 0.4349 0.6954  1 Nd 3.24, 4 Er 3.36-3.43
Nd2 0.5651 0.5651 0.3046  1 Nd 3.24, 4 Er 3.36-3.43
In1 0.0000 0.0000 0.0000  6 Er 3.09
Er1 0.2999 0.2999 0.1003  3 In 3.09, 4 Nd 3.36-3.43, 3 Er 3.41
Er2 0.7001 0.7001 0.8997  3 In 3.09, 4 Nd 3.36-3.43, 3 Er 3.41

#B
The following is a DFT calculation (PBE-GGA) of a relaxed Nd2Er2In crystal.

a = 4.2300 Å, b = 8.5987 Å, c = 8.5986 Å
α = 90.00°, β = 90.00°, γ = 90.00°
Last column: nearest neighbours and their distance in Å.
Positions (direct):
In1 0.0000 0.0000 0.0000  4 Nd 3.28
In2 0.0000 0.5000 0.5000  4 Nd 3.28
Er1 0.5000 0.8462 0.6538  6 Nd 3.20-3.35
Er2 0.5000 0.6538 0.1538  6 Nd 3.20-3.35
Er3 0.5000 0.3462 0.8462  6 Nd 3.20-3.35
Er4 0.5000 0.1538 0.3462  6 Nd 3.20-3.35
Nd1 0.0000 0.8514 0.3515  6 Er 3.20-3.35, 2 In 3.28
Nd2 0.0000 0.3514 0.1486  6 Er 3.20-3.35, 2 In 3.28
Nd3 0.0000 0.6486 0.8514  6 Er 3.20-3.35, 2 In 3.28
Nd4 0.0000 0.1485 0.6485  6 Er 3.20-3.35, 2 In 3.28

Energies relative to the minimum, kJ/mol of atoms: #A 32.7; #B 0.0